[1]
AlZnAs3: relaxed, PBEsol.

```
data_AlZnAs3
_chemical_formula_sum 'Al1 Zn1 As3'
_cell_length_a 4.766
_cell_length_b 4.766
_cell_length_c 4.766
_cell_angle_alpha 90.00
_cell_angle_beta 90.00
_cell_angle_gamma 90.00
_space_group_name_H-M_alt 'P m -3 m'
_space_group_IT_number 221
_space_group_name_Hall '-P 4 2 3'
loop_
_atom_site_label
_atom_site_type_symbol
_atom_site_fract_x
_atom_site_fract_y
_atom_site_fract_z
Al1 Al 0.000 0.000 0.000
Zn1 Zn 0.500 0.500 0.500
As1 As 0.000 0.500 0.500
```

---

[2]
AlZn2As: relaxed, PBEsol.

```
data_AlZn2As
_chemical_formula_sum 'Al4 Zn8 As4'
_cell_length_a 5.227
_cell_length_b 5.343
_cell_length_c 9.637
_cell_angle_alpha 90.00
_cell_angle_beta 90.00
_cell_angle_gamma 90.00
_space_group_name_H-M_alt 'F m m m'
_space_group_IT_number 69
_space_group_name_Hall '-F 2 2'
loop_
_atom_site_label
_atom_site_type_symbol
_atom_site_fract_x
_atom_site_fract_y
_atom_site_fract_z
Al1 Al 0.000 0.000 0.000
Zn1 Zn 0.250 0.000 0.250
As1 As 0.000 0.000 0.500
```

---

[3]
Al2ZnAs: relaxed, PBEsol.

```
data_Al2ZnAs
_chemical_formula_sum 'Al2 Zn1 As1'
_cell_length_a 2.933
_cell_length_b 4.222
_cell_length_c 5.459
_cell_angle_alpha 90.00
_cell_angle_beta 90.00
_cell_angle_gamma 90.00
_space_group_name_H-M_alt 'P m m 2'
_space_group_IT_number 25
loop_
_space_group_symop_operation_xyz
'x,y,z'
'-x,-y,z'
'-x,y,z'
'x,-y,z'
loop_
_atom_site_label
_atom_site_type_symbol
_atom_site_fract_x
_atom_site_fract_y
_atom_site_fract_z
Al1 Al 0.000 0.000 0.000
Al2 Al 0.500 0.500 0.334
Zn1 Zn 0.500 0.500 0.853
As1 As 0.000 0.000 0.492
```

---

[4]
ZrAl2As: relaxed, PBEsol.

```
data_ZrAl2As
_chemical_formula_sum 'Zr1 Al2 As1'
_cell_length_a 2.944
_cell_length_b 2.944
_cell_length_c 8.372
_cell_angle_alpha 90.00
_cell_angle_beta 90.00
_cell_angle_gamma 90.00
_space_group_name_H-M_alt 'P 4 m m'
_space_group_IT_number 99
loop_
_space_group_symop_operation_xyz
'x,y,z'
'-y,x,z'
'-x,-y,z'
'y,-x,z'
'-x,y,z'
'y,x,z'
'x,-y,z'
'-y,-x,z'
loop_
_atom_site_label
_atom_site_type_symbol
_atom_site_fract_x
_atom_site_fract_y
_atom_site_fract_z
Zr1 Zr 0.000 0.000 0.000
Al1 Al 0.000 0.000 0.488
Al2 Al 0.500 0.500 0.252
As1 As 0.500 0.500 0.755
```

---

[5]
ZrAl2As: relaxed, PBEsol.

```
data_ZrAl2As
_chemical_formula_sum 'Zr2 Al4 As2'
_cell_length_a 3.945
_cell_length_b 4.111
_cell_length_c 8.555
_cell_angle_alpha 90.00
_cell_angle_beta 90.00
_cell_angle_gamma 90.00
_space_group_name_H-M_alt 'I m m 2'
_space_group_IT_number 44
loop_
_space_group_symop_operation_xyz
'x,y,z'
'-x,-y,z'
'-x,y,z'
'x,-y,z'
'x+1/2,y+1/2,z+1/2'
'-x+1/2,-y+1/2,z+1/2'
'-x+1/2,y+1/2,z+1/2'
'x+1/2,-y+1/2,z+1/2'
loop_
_atom_site_label
_atom_site_type_symbol
_atom_site_fract_x
_atom_site_fract_y
_atom_site_fract_z
Zr1 Zr 0.000 0.000 0.000
Al1 Al 0.000 0.000 0.499
Al2 Al 0.000 0.500 0.752
As1 As 0.000 0.500 0.251
```

---

[6]
# PBEsol Zr2AlAs, relaxed
data_Zr2AlAs
_chemical_formula_sum 'Zr4 Al2 As2'
_cell_length_a 6.023
_cell_length_b 7.641
_cell_length_c 3.301
_cell_angle_alpha 90.00
_cell_angle_beta 100.11
_cell_angle_gamma 90.00
_space_group_name_H-M_alt 'C 1 2/m 1'
_space_group_IT_number 12
loop_
_space_group_symop_operation_xyz
'x,y,z'
'-x,-y,-z'
'-x,y,-z'
'x,-y,z'
'x+1/2,y+1/2,z'
'-x+1/2,-y+1/2,-z'
'-x+1/2,y+1/2,-z'
'x+1/2,-y+1/2,z'
loop_
_atom_site_label
_atom_site_type_symbol
_atom_site_fract_x
_atom_site_fract_y
_atom_site_fract_z
Zr1 Zr 0.250 0.250 0.000
Al1 Al 0.000 0.000 0.500
As1 As 0.000 0.500 0.500
# Excess energy over the best structure of this formula in the dataset   0.252 eV per atom

---

[7]
# PBEsol Zr2AlAs, relaxed
data_Zr2AlAs
_chemical_formula_sum 'Zr4 Al2 As2'
_cell_length_a 3.874
_cell_length_b 3.750
_cell_length_c 10.142
_cell_angle_alpha 90.00
_cell_angle_beta 90.00
_cell_angle_gamma 90.00
_space_group_name_H-M_alt 'A m m 2'
_space_group_IT_number 38
loop_
_space_group_symop_operation_xyz
'x,y,z'
'-x,-y,z'
'-x,y,z'
'x,-y,z'
'x,y+1/2,z+1/2'
'-x,-y+1/2,z+1/2'
'-x,y+1/2,z+1/2'
'x,-y+1/2,z+1/2'
loop_
_atom_site_label
_atom_site_type_symbol
_atom_site_fract_x
_atom_site_fract_y
_atom_site_fract_z
Zr1 Zr 0.000 0.000 0.000
Zr2 Zr 0.500 0.000 0.294
Al1 Al 0.000 0.000 0.733
As1 As 0.500 0.000 0.568
# Excess energy over the best structure of this formula in the dataset   0.000 eV per atom

---

[8]
ZrAl2As: relaxed, PBEsol.

```
data_ZrAl2As
_chemical_formula_sum 'Zr4 Al8 As4'
_cell_length_a 6.619
_cell_length_b 6.619
_cell_length_c 6.619
_cell_angle_alpha 90.00
_cell_angle_beta 90.00
_cell_angle_gamma 90.00
_space_group_name_H-M_alt 'F -4 3 m'
_space_group_IT_number 216
_space_group_name_Hall 'F -4 2 3'
loop_
_atom_site_label
_atom_site_type_symbol
_atom_site_fract_x
_atom_site_fract_y
_atom_site_fract_z
Zr1 Zr 0.000 0.000 0.000
Al1 Al 0.000 0.000 0.500
Al2 Al 0.250 0.250 0.750
As1 As 0.250 0.250 0.250
```

---

Values of formation energy from the elements, in order: 758; 62; 98; -197; -415; -581; -834; -53, all in meV per atom.
Values of DOS(E_F), in order: 0.766; 0.345; 0.398; 0.452; 0.566; 0.575; 0.273; 0.819, all in states/eV per atom.